Computed, not measured: a relaxed Ho6Os2Pb crystal at the PBE-GGA level of DFT.

Formation energy   -0.336 eV/atom
Magnetic moment   0.0 Bohr magnetons per cell
Total DFT energy (no corrections)   -6.2952 eV per atom

Lattice parameters (Å, degrees): 9.443 9.624 10.391 90.00 90.00 90.00
Space group Immm (No. 71)
Unique sites:
Ho  0.000  0.214  0.241 (multiplicity 8)
Ho  0.187  0.500  0.168 (multiplicity 8)
Ho  0.217  0.315  0.500 (multiplicity 8)
Os  0.000  0.335  0.000 (multiplicity 4)
Os  0.000  0.500  0.379 (multiplicity 4)
Pb  0.000  0.000  0.000 (multiplicity 2)
Pb  0.000  0.000  0.500 (multiplicity 2)

Computed, not measured: a relaxed HoPuOsPb crystal at the PBE-GGA level of DFT.

Formation energy   -0.227 eV/atom
Magnetic moment   5.0 Bohr magnetons per cell
Total DFT energy (no corrections)   -8.6894 eV per atom

Lattice parameters (Å, degrees): 3.313 3.313 8.759 90.00 90.00 90.00
Space group P4mm (No. 99)
Unique sites:
Ho  0.000  0.000  0.000 (multiplicity 1)
Pu  0.000  0.000  0.603 (multiplicity 1)
Os  0.500  0.500  0.801 (multiplicity 1)
Pb  0.500  0.500  0.299 (multiplicity 1)

Computed, not measured: a relaxed Ho6OsPd2 crystal at the PBE-GGA level of DFT.

Formation energy   -0.480 eV/atom
Magnetic moment   0.0 Bohr magnetons per cell
Total DFT energy (no corrections)   -5.9335 eV per atom

Lattice parameters (Å, degrees): 9.410 9.594 9.664 90.00 90.00 90.00
Space group Immm (No. 71)
Unique sites:
Ho  0.000  0.213  0.167 (multiplicity 8)
Ho  0.173  0.242  0.500 (multiplicity 8)
Ho  0.186  0.500  0.242 (multiplicity 8)
Os  0.000  0.500  0.000 (multiplicity 2)
Os  0.000  0.500  0.500 (multiplicity 2)
Pd  0.000  0.000  0.364 (multiplicity 4)
Pd  0.155  0.000  0.000 (multiplicity 4)

Computed, not measured: a relaxed Ho4OsPd2 crystal at the PBE-GGA level of DFT.

Formation energy   -0.588 eV/atom
Magnetic moment   0.0 Bohr magnetons per cell
Total DFT energy (no corrections)   -6.2922 eV per atom

Lattice parameters (Å, degrees): 4.8542 4.8542 24.0314 90.00 90.00 120.00
Space group R-3m (No. 166, hexagonal axes)
Unique sites:
Ho  0.0000  0.0000  0.1217 (multiplicity 6)
Ho  0.0000  0.0000  0.3729 (multiplicity 6)
Os  0.0000  0.0000  0.0000 (multiplicity 3)
Pd  0.0000  0.0000  0.2491 (multiplicity 6)

Calculated ρ in order - 11.1; 13.9; 10.6; 10.8 Mg/m³